A plane-wave DFT calculation with GGA-PBE was carried out for a relaxed structure of ZnHg2Ru.

Properties
SG: P4/mmm
DFT total energy (hartree per atom): -0.0918

Structure (POSCAR):
```
ZnHg2Ru
1.0
4.126 0.000 0.000
0.000 4.126 0.000
0.000 0.000 4.122
Zn Hg Ru
1 2 1
direct
0.000 0.000 0.000
0.000 0.500 0.500
0.500 0.000 0.500
0.500 0.500 0.000
```